Record 1
## MgSnH (PBE)

Data for a geometry-optimized MgSnH structure.

## Properties
Space group ... P4/nmm, No. 129
Energy above the most stable polymorph in this dataset ... 0 meV per atom

a = 3.9972 Å, b = 3.9972 Å, c = 6.3144 Å
α = 90.00°, β = 90.00°, γ = 90.00°
Sites, in units of the cell vectors:
Mg: 0.2500 0.2500 0.1137
Mg: 0.7500 0.7500 0.8863
Sn: 0.2500 0.2500 0.5916
Sn: 0.7500 0.7500 0.4084
H: 0.2500 0.7500 0.0000
H: 0.7500 0.2500 0.0000

---

Record 2
## Mg3SnH2 (PBE)

Data for a geometry-optimized Mg3SnH2 structure.

## Properties
Space group ... C2/m, No. 12
Total DFT energy (no corrections) ... -2.576 eV per atom

a = 9.2878 Å, b = 9.2878 Å, c = 6.9662 Å
α = 90.79°, β = 90.79°, γ = 20.47°
Sites, in units of the cell vectors:
Mg: 0.0534 0.0534 0.2095
Mg: 0.2846 0.2846 0.8367
Mg: 0.4072 0.4072 0.1681
Mg: 0.5928 0.5928 0.8319
Mg: 0.7154 0.7154 0.1633
Mg: 0.9466 0.9466 0.7905
Sn: 0.1724 0.1724 0.5222
Sn: 0.8276 0.8276 0.4778
H: 0.2021 0.2021 0.0249
H: 0.4976 0.4976 0.6943
H: 0.5024 0.5024 0.3057
H: 0.7979 0.7979 0.9751

---

Record 3
## Mg3SnH (PBE)

Data for a geometry-optimized Mg3SnH structure.

## Properties
Space group ... P2_1/c, No. 14
Energy above the most stable polymorph in this dataset ... 16 meV per atom

a = 7.0140 Å, b = 6.2659 Å, c = 11.0053 Å
α = 90.00°, β = 128.30°, γ = 90.00°
Sites, in units of the cell vectors:
Mg: 0.1453 0.2263 0.2060
Mg: 0.1453 0.2737 0.7060
Mg: 0.3273 0.0431 0.5413
Mg: 0.3273 0.4569 0.0413
Mg: 0.3461 0.5420 0.5538
Mg: 0.3461 0.9580 0.0538
Mg: 0.6539 0.0420 0.9462
Mg: 0.6539 0.4580 0.4462
Mg: 0.6727 0.5431 0.9587
Mg: 0.6727 0.9569 0.4587
Mg: 0.8547 0.7263 0.2940
Mg: 0.8547 0.7737 0.7940
Sn: 0.1845 0.7163 0.2079
Sn: 0.1845 0.7837 0.7079
Sn: 0.8155 0.2163 0.2921
Sn: 0.8155 0.2837 0.7921
H: 0.4427 0.1848 0.4180
H: 0.4427 0.3152 0.9180
H: 0.5573 0.6848 0.0820
H: 0.5573 0.8152 0.5820

---

Record 4
## Mg3SnH (PBE)

Data for a geometry-optimized Mg3SnH structure.

## Properties
Space group ... Pm-3m, No. 221
Energy above the most stable polymorph in this dataset ... 726 meV per atom

a = 5.4602 Å, b = 5.4602 Å, c = 5.4602 Å
α = 90.00°, β = 90.00°, γ = 90.00°
Sites, in units of the cell vectors:
Mg: 0.0000 0.0000 0.5000
Mg: 0.0000 0.5000 0.0000
Mg: 0.5000 0.0000 0.0000
Sn: 0.0000 0.0000 0.0000
H: 0.5000 0.5000 0.5000

---

Record 5
## Mg4Sn2H (PBE)

Data for a geometry-optimized Mg4Sn2H structure.

## Properties
Space group ... I4/mmm, No. 139
Total DFT energy (no corrections) ... -2.658 eV per atom

a = 8.0410 Å, b = 8.0410 Å, c = 8.0410 Å
α = 148.17°, β = 148.17°, γ = 45.63°
Sites, in units of the cell vectors:
Mg: 0.0000 0.5000 0.5000
Mg: 0.1647 0.1647 0.0000
Mg: 0.5000 0.0000 0.5000
Mg: 0.8353 0.8353 0.0000
Sn: 0.3618 0.3618 0.0000
Sn: 0.6382 0.6382 0.0000
H: 0.0000 0.0000 0.0000

---

Record 6
## Mg2SnH6 (PBE)

Data for a geometry-optimized Mg2SnH6 structure.

## Properties
Space group ... Fm-3m, No. 225
Total DFT energy (no corrections) ... -2.558 eV per atom

a = 5.2156 Å, b = 5.2156 Å, c = 5.2156 Å
α = 60.00°, β = 60.00°, γ = 60.00°
Sites, in units of the cell vectors:
Mg: 0.2500 0.2500 0.2500
Mg: 0.7500 0.7500 0.7500
Sn: 0.0000 0.0000 0.0000
H: 0.2627 0.2627 0.7373
H: 0.2627 0.7373 0.2627
H: 0.2627 0.7373 0.7373
H: 0.7373 0.2627 0.2627
H: 0.7373 0.2627 0.7373
H: 0.7373 0.7373 0.2627

---

Number 1: Fermi-level density of states 1.611 states/eV per cell. Number 2: Fermi-level density of states 1.811 states/eV per cell. Number 3: Fermi-level density of states 6.413 states/eV per cell. Number 4: Fermi-level density of states 3.373 states/eV per cell. Number 5: Fermi-level density of states 1.627 states/eV per cell. Number 6: Fermi-level density of states 2.199 states/eV per cell.